(1)
DFT (PBEsol) results for a relaxed structure of Mn2ZnAu.

Cell: 2.7704 2.7704 8.7793 Å, 80.92 80.92 60.00°
Each line ends with the local moment (μB).
Element x y z (fractional)
Mn  0.2463  0.2463  0.2611  3.25
Mn  0.7537  0.7537  0.7389  3.25
Zn  0.5000  0.5000  0.5000  -0.06
Au  0.0000  0.0000  0.0000  0.08

- energy of formation from the pure elements (meV per atom) = 286
- theoretical density (g cm⁻³) = 10.77
- crystal system = trigonal

(2)
DFT (PBEsol) results for a relaxed structure of Zr3MnAu.

Cell: 4.6792 4.6792 4.6792 Å, 90.00 90.00 90.00°
Element x y z (fractional)
Zr  0.0000  0.0000  0.5000
Zr  0.5000  0.0000  0.0000
Zr  0.0000  0.5000  0.0000
Mn  0.0000  0.0000  0.0000
Au  0.5000  0.5000  0.5000

- energy of formation from the pure elements (meV per atom) = 240
- theoretical density (g cm⁻³) = 8.52
- crystal system = cubic

(3)
DFT (PBEsol) results for a relaxed structure of ZrMnAu.

Cell: 4.4331 4.4331 4.4331 Å, 60.00 60.00 60.00°
Each line ends with the local moment (μB).
Element x y z (fractional)
Zr  0.2500  0.2500  0.2500  -0.24
Au  0.0000  0.0000  0.0000  0.05
Mn  0.5000  0.5000  0.5000  3.43

- energy of formation from the pure elements (meV per atom) = 544
- theoretical density (g cm⁻³) = 9.25
- crystal system = cubic

(4)
DFT (PBEsol) results for a relaxed structure of ZrMn3Au.

Cell: 4.5390 4.5390 4.5390 Å, 90.00 90.00 90.00°
Each line ends with the local moment (μB).
Element x y z (fractional)
Mn  0.0000  0.5000  0.0000  2.99
Mn  0.5000  0.0000  0.0000  2.99
Mn  0.0000  0.0000  0.5000  2.99
Zr  0.0000  0.0000  0.0000  -0.60
Au  0.5000  0.5000  0.5000  -0.01

- energy of formation from the pure elements (meV per atom) = 1555
- theoretical density (g cm⁻³) = 8.04
- crystal system = cubic

(5)
DFT (PBEsol) results for a relaxed structure of ZrMnAu3.

Cell: 4.7119 4.7119 4.7119 Å, 90.00 90.00 90.00°
Each line ends with the local moment (μB).
Element x y z (fractional)
Zr  0.5000  0.5000  0.5000  -0.59
Mn  0.0000  0.0000  0.0000  3.58
Au  0.5000  0.0000  0.0000  0.12
Au  0.0000  0.0000  0.5000  0.12
Au  0.0000  0.5000  0.0000  0.12

- energy of formation from the pure elements (meV per atom) = 636
- theoretical density (g cm⁻³) = 11.70
- crystal system = cubic

(6)
DFT (PBEsol) results for a relaxed structure of Mo2Au.

Cell: 2.6644 2.6644 6.9007 Å, 101.13 101.13 90.00°
Element x y z (fractional)
Mo  0.3336  0.3336  0.6671
Mo  0.6664  0.6664  0.3329
Au  0.0000  0.0000  0.0000

- energy of formation from the pure elements (meV per atom) = 233
- theoretical density (g cm⁻³) = 13.70
- crystal system = tetragonal

(7)
DFT (PBEsol) results for a relaxed structure of MoAu3.

Cell: 2.8438 2.8438 9.5300 Å, 81.42 81.42 60.00°
Element x y z (fractional)
Mo  0.0000  0.0000  0.0000
Au  0.5000  0.5000  0.5000
Au  0.7475  0.7475  0.7574
Au  0.2525  0.2525  0.2426

- energy of formation from the pure elements (meV per atom) = 148
- theoretical density (g cm⁻³) = 17.35
- crystal system = trigonal

(8)
DFT (PBEsol) results for a relaxed structure of MoAu.

Cell: 4.5075 4.5075 4.5075 Å, 60.00 60.00 60.00°
Element x y z (fractional)
Au  0.0000  0.0000  0.0000
Au  0.2500  0.2500  0.2500
Mo  0.7500  0.7500  0.7500
Mo  0.5000  0.5000  0.5000

- energy of formation from the pure elements (meV per atom) = 459
- theoretical density (g cm⁻³) = 15.02
- crystal system = cubic

(9)
DFT (PBEsol) results for a relaxed structure of MoAu3.

Cell: 2.7616 4.9509 5.6840 Å, 115.82 104.06 90.00°
Each line ends with the local moment (μB).
Element x y z (fractional)
Au  0.2438  0.2438  0.4877  0.05
Au  0.7562  0.7562  0.5123  0.05
Au  0.0000  0.5000  0.0000  0.03
Mo  0.5000  0.0000  0.0000  0.70

- energy of formation from the pure elements (meV per atom) = 323
- theoretical density (g cm⁻³) = 16.93
- crystal system = orthorhombic

(10)
DFT (PBEsol) results for a relaxed structure of MoAu.

Cell: 2.6852 4.8853 5.0749 Å, 96.97 90.00 105.95°
Element x y z (fractional)
Au  0.1228  0.2457  0.3754
Au  0.8772  0.7543  0.6246
Mo  0.6221  0.2441  0.8809
Mo  0.3779  0.7559  0.1191

- energy of formation from the pure elements (meV per atom) = 207
- theoretical density (g cm⁻³) = 15.32
- crystal system = monoclinic

(11)
DFT (PBEsol) results for a relaxed structure of MoAu.

Cell: 2.7819 2.7819 9.7248 Å, 81.78 81.78 60.00°
Element x y z (fractional)
Au  0.3766  0.3766  0.8702
Au  0.6234  0.6234  0.1298
Mo  0.1254  0.1254  0.6239
Mo  0.8746  0.8746  0.3761

- energy of formation from the pure elements (meV per atom) = 246
- theoretical density (g cm⁻³) = 15.13
- crystal system = trigonal

(12)
DFT (PBEsol) results for a relaxed structure of MoAu3.

Cell: 2.8022 2.8022 8.3395 Å, 90.00 90.00 90.00°
Element x y z (fractional)
Au  0.5000  0.5000  0.5000
Au  0.0000  0.0000  0.2395
Au  0.0000  0.0000  0.7605
Mo  0.5000  0.5000  0.0000

- energy of formation from the pure elements (meV per atom) = 113
- theoretical density (g cm⁻³) = 17.42
- crystal system = tetragonal

(13)
DFT (PBEsol) results for a relaxed structure of MoAu4.

Cell: 3.7013 3.7013 7.3271 Å, 104.63 104.63 90.00°
Each line ends with the local moment (μB).
Element x y z (fractional)
Au  0.2500  0.7500  0.5000  0.02
Au  0.5955  0.5955  0.1910  0.07
Au  0.7500  0.2500  0.5000  0.02
Au  0.4045  0.4045  0.8089  0.07
Mo  0.0000  0.0000  0.0000  2.48

- energy of formation from the pure elements (meV per atom) = 649
- theoretical density (g cm⁻³) = 15.65
- crystal system = tetragonal

(14)
DFT (PBEsol) results for a relaxed structure of MoAu3.

Cell: 2.6949 5.4014 5.4014 Å, 117.29 99.57 99.57°
Element x y z (fractional)
Au  0.5000  0.5000  0.0000
Au  0.5000  0.0000  0.5000
Au  0.0000  0.5000  0.5000
Mo  0.0000  0.0000  0.0000

- energy of formation from the pure elements (meV per atom) = 375
- theoretical density (g cm⁻³) = 17.23
- crystal system = trigonal

(15)
DFT (PBEsol) results for a relaxed structure of MoAu3.

Cell: 4.1788 4.7920 4.1788 Å, 64.15 90.00 115.85°
Each line ends with the local moment (μB).
Element x y z (fractional)
Au  0.7500  0.5000  0.7500  0.02
Au  0.2500  0.5000  0.2500  0.02
Au  0.0000  0.0000  0.0000  0.02
Mo  0.5000  0.0000  0.5000  0.79

- energy of formation from the pure elements (meV per atom) = 315
- theoretical density (g cm⁻³) = 17.31
- crystal system = tetragonal